Here is SnCNF2 after structural relaxation from the Alexandria database. Energies are from PBE.

Lattice parameters (Å, degrees): 4.8386 4.8386 2.5632 90.00 90.00 90.00
Fractional coordinates of all 5 atoms:
Sn 0.5000 0.5000 0.5000
F 0.5000 0.0000 0.0000
F 0.0000 0.5000 0.0000
C 0.0000 0.0000 0.0000
N 0.0000 0.0000 0.5000

ΔE_f (raw) = -0.34 eV per atom



Here is Sm2SiTe after structural relaxation from the Alexandria database. Energies are from PBE.

Lattice parameters (Å, degrees): 4.3071 4.3071 7.6573 89.97 106.36 120.01
Fractional coordinates of all 4 atoms:
Sm 0.4814 0.7406 0.2220
Sm 0.5186 0.2594 0.7779
Si 0.0000 0.0000 0.0000
Te 0.0000 0.5000 0.5000

ΔE_f (raw) = -1.11 eV per atom



Here is Mg3VPd after structural relaxation from the Alexandria database. Energies are from PBE.

Lattice parameters (Å, degrees): 4.9183 4.9183 4.9183 90.00 90.00 90.00
Each line ends with the local moment (μB).
Fractional coordinates of all 5 atoms:
Mg 0.0000 0.5000 0.0000  -0.01
Pd 0.0000 0.0000 0.0000  0.07
Mg 0.0000 0.0000 0.5000  -0.01
Mg 0.5000 0.0000 0.0000  -0.01
V 0.5000 0.5000 0.5000  3.04

E_form = 348 meV per atom



Here is PmCoAu after structural relaxation from the Alexandria database. Energies are from PBE.

Lattice parameters (Å, degrees): 5.0343 5.0343 6.5381 67.36 67.36 60.00
Each line ends with the local moment (μB).
Fractional coordinates of all 6 atoms:
Co 0.2252 0.2252 0.3243  1.49
Pm 0.3908 0.3908 0.8275  -0.15
Au 0.0823 0.0823 0.7532  0.01
Au 0.9177 0.9177 0.2468  0.01
Pm 0.6092 0.6092 0.1725  -0.15
Co 0.7748 0.7748 0.6757  1.49

E_form = 19 meV per atom



Here is BaTe2Se after structural relaxation from the Alexandria database. Energies are from PBE.

Lattice parameters (Å, degrees): 6.7000 6.7000 6.7000 53.91 53.91 53.91
Fractional coordinates of all 4 atoms:
Se 0.0000 0.0000 0.0000
Te 0.8396 0.8396 0.8396
Ba 0.5000 0.5000 0.5000
Te 0.1604 0.1604 0.1604

ΔE_f (raw) = -0.51 eV per atom



Here is ScCd2Ir after structural relaxation from the Alexandria database. Energies are from PBE.

Lattice parameters (Å, degrees): 5.8678 5.8678 3.1332 75.51 75.51 123.06
Fractional coordinates of all 4 atoms:
Ir 0.5000 0.0000 0.5000
Sc 0.0000 0.5000 0.5000
Cd 0.5000 0.5000 0.0000
Cd 0.0000 0.0000 0.0000

E_form = -115 meV per atom



Repeat the third record exactly.
Here is Mg3VPd after structural relaxation from the Alexandria database. Energies are from PBE.

Lattice parameters (Å, degrees): 4.9183 4.9183 4.9183 90.00 90.00 90.00
Each line ends with the local moment (μB).
Fractional coordinates of all 5 atoms:
Mg 0.0000 0.5000 0.0000  -0.01
Pd 0.0000 0.0000 0.0000  0.07
Mg 0.0000 0.0000 0.5000  -0.01
Mg 0.5000 0.0000 0.0000  -0.01
V 0.5000 0.5000 0.5000  3.04

E_form = 348 meV per atom



What is the formula in the sixth record? ScCd2Ir